## LaMgZn (PBE)

Data for an optimized crystal structure of LaMgZn.

It has space group Imm2 (No. 44), with a = 3.3157 Å, b = 4.7605 Å, c = 9.5779 Å, α = 90.00°, β = 90.00° and γ = 90.00°. The inequivalent atoms are La at (0.0000, 0.0000, 0.0000), Mg at (0.0000, 0.0000, 0.6731) and Zn at (0.0000, 0.0000, 0.3351).

As for the formation enthalpy at 0 K: -0.953 kcal/mol of atoms. As for the spin magnetization: 0.000 μB/atom. For the density of states at the Fermi level, the calculation gives 0.833 states/eV per atom.